(1)
Below is NaSrPuF6 after structural relaxation, with properties calculated at the PBE level. Values from VASP.

Summary:
total DFT energy (no corrections)	-6.655	eV/atom
space-group type	P-31c
V	324	Å³ per cell

Structure (Quantum ESPRESSO input):
```
&SYSTEM
  ibrav = 0, nat = 18, ntyp = 4
/
ATOMIC_SPECIES
F 19.00 F.upf
Sr 87.62 Sr.upf
Pu 244.00 Pu.upf
Na 22.99 Na.upf
CELL_PARAMETERS angstrom
-5.533 1.745 1.767
3.882 -2.320 4.040
3.561 9.330 1.936
ATOMIC_POSITIONS crystal
F 0.993 0.659 0.365
F 0.659 0.993 0.865
F 0.334 0.993 0.635
F 0.007 0.666 0.865
Sr 0.000 0.000 0.500
Sr 0.000 0.000 0.000
Pu 0.667 0.333 0.250
F 0.007 0.341 0.635
Pu 0.333 0.667 0.750
Na 0.667 0.333 0.750
F 0.341 0.334 0.365
F 0.666 0.007 0.365
Na 0.333 0.667 0.250
F 0.341 0.007 0.135
F 0.659 0.666 0.635
F 0.993 0.334 0.135
F 0.666 0.659 0.135
F 0.334 0.341 0.865
```



(2)
Below is Na2SrPuF8 after structural relaxation, with properties calculated at the PBE level. Values from VASP.

Summary:
total DFT energy (no corrections)	-6.161	eV/atom
space-group type	P2/m
V	181	Å³ per cell

Structure (Quantum ESPRESSO input):
```
&SYSTEM
  ibrav = 0, nat = 12, ntyp = 4
/
ATOMIC_SPECIES
F 19.00 F.upf
Pu 244.00 Pu.upf
Sr 87.62 Sr.upf
Na 22.99 Na.upf
CELL_PARAMETERS angstrom
-0.380 -3.967 -0.011
0.083 -0.006 -5.678
7.944 -0.761 0.117
ATOMIC_POSITIONS crystal
F 0.999 0.237 0.219
F 0.501 0.749 0.500
F 0.499 0.221 0.000
F 0.001 0.763 0.781
F 0.001 0.763 0.220
F 0.501 0.779 0.000
Pu 0.000 0.000 0.000
Sr 0.000 0.000 0.500
F 0.999 0.237 0.780
Na 0.500 0.500 0.731
Na 0.500 0.500 0.269
F 0.499 0.251 0.500
```



(3)
Below is NaPuTl2F6 after structural relaxation, with properties calculated at the PBE level. Values from VASP.

Summary:
total DFT energy (no corrections)	-5.851	eV/atom
space-group type	C2/m
V	190	Å³ per cell

Structure (Quantum ESPRESSO input):
```
&SYSTEM
  ibrav = 0, nat = 10, ntyp = 4
/
ATOMIC_SPECIES
Tl 204.38 Tl.upf
F 19.00 F.upf
Pu 244.00 Pu.upf
Na 22.99 Na.upf
CELL_PARAMETERS angstrom
-5.278 1.356 -3.650
3.044 -2.116 -5.188
-0.380 -3.819 5.253
ATOMIC_POSITIONS crystal
Tl 0.239 0.258 0.515
F 0.799 0.308 0.099
Pu 0.000 0.500 0.000
F 0.201 0.692 0.901
F 0.678 0.254 0.509
F 0.201 0.208 0.901
F 0.799 0.792 0.099
Tl 0.761 0.742 0.485
Na 0.500 0.000 0.000
F 0.322 0.746 0.491
```



(4)
Below is Na2PuTlF6 after structural relaxation, with properties calculated at the PBE level. Values from VASP.

Summary:
total DFT energy (no corrections)	-5.923	eV/atom
space-group type	R3
V	177	Å³ per cell

Structure (Quantum ESPRESSO input):
```
&SYSTEM
  ibrav = 0, nat = 10, ntyp = 4
/
ATOMIC_SPECIES
F 19.00 F.upf
Na 22.99 Na.upf
Pu 244.00 Pu.upf
Tl 204.38 Tl.upf
CELL_PARAMETERS angstrom
6.174 0.001 0.001
3.088 5.347 0.001
3.088 1.784 5.378
ATOMIC_POSITIONS crystal
F 0.340 0.711 0.761
Na 0.525 0.525 0.424
Pu 0.314 0.315 0.057
F 0.920 0.606 0.226
F 0.249 0.920 0.225
F 0.606 0.249 0.225
Tl 0.794 0.794 0.618
F 0.188 0.340 0.761
F 0.711 0.187 0.761
Na 0.014 0.014 0.957
```



(5)
Below is NaPuTl2F8 after structural relaxation, with properties calculated at the PBE level. Values from VASP.

Summary:
total DFT energy (no corrections)	-5.597	eV/atom
space-group type	I-4m2
V	208	Å³ per cell

Structure (Quantum ESPRESSO input):
```
&SYSTEM
  ibrav = 0, nat = 12, ntyp = 4
/
ATOMIC_SPECIES
F 19.00 F.upf
Na 22.99 Na.upf
Pu 244.00 Pu.upf
Tl 204.38 Tl.upf
CELL_PARAMETERS angstrom
-4.694 -3.119 2.201
0.748 -4.173 -4.316
5.486 0.758 4.458
ATOMIC_POSITIONS crystal
F 0.352 0.428 0.270
F 0.157 0.081 0.730
F 0.157 0.648 0.730
Na 0.500 0.500 0.000
F 0.572 0.081 0.730
F 0.919 0.843 0.270
F 0.919 0.428 0.270
F 0.352 0.843 0.270
Pu 0.250 0.750 0.500
Tl 0.000 0.000 0.000
Tl 0.750 0.250 0.500
F 0.572 0.648 0.730
```



(6)
Below is NaPuTlF6 after structural relaxation, with properties calculated at the PBE level. Values from VASP.

Summary:
total DFT energy (no corrections)	-6.233	eV/atom
space-group type	P-31c
V	371	Å³ per cell

Structure (Quantum ESPRESSO input):
```
&SYSTEM
  ibrav = 0, nat = 18, ntyp = 4
/
ATOMIC_SPECIES
Pu 244.00 Pu.upf
F 19.00 F.upf
Tl 204.38 Tl.upf
Na 22.99 Na.upf
CELL_PARAMETERS angstrom
6.143 0.000 0.000
-3.071 5.320 0.000
0.000 0.000 11.347
ATOMIC_POSITIONS crystal
Pu 0.667 0.333 0.250
F 0.358 0.383 0.853
F 0.358 0.975 0.647
F 0.975 0.358 0.147
Tl 0.000 0.000 0.000
F 0.383 0.358 0.353
F 0.617 0.642 0.647
Pu 0.333 0.667 0.750
F 0.975 0.617 0.353
Na 0.333 0.667 0.250
F 0.383 0.025 0.147
Na 0.667 0.333 0.750
Tl 0.000 0.000 0.500
F 0.642 0.617 0.147
F 0.642 0.025 0.353
F 0.617 0.975 0.853
F 0.025 0.642 0.853
F 0.025 0.383 0.647
```



- Among the records above, which one has the highest total DFT energy (no corrections)?
  NaPuTl2F8